No. 1
Compound: DyMg2SnRh4
Source: the Alexandria database
Functional: GGA-PBE
Structure: relaxed

Mass density (g cm⁻³): 9.17
SG: R-3m
Total magnetic moment (Bohr magnetons per cell): 0.000

```
DyMg2SnRh4
1.0
4.562 0.000 0.000
2.281 3.951 0.000
2.281 1.317 7.451
Mg Rh Sn Dy
2 4 1 1
Direct
0.250 0.250 0.251 Mg
0.750 0.750 0.749 Mg
0.872 0.872 0.385 Rh
0.128 0.128 0.615 Rh
0.379 0.379 0.862 Rh
0.621 0.621 0.138 Rh
0.500 0.500 0.500 Sn
0.000 0.000 0.000 Dy
```

=====

No. 2
Compound: Tb2DyMgRh4
Source: the Alexandria database
Functional: GGA-PBE
Structure: relaxed

Mass density (g cm⁻³): 9.99
SG: R-3m
Total magnetic moment (Bohr magnetons per cell): 0.000

```
Tb2DyMgRh4
1.0
-0.482 -3.171 -3.510
-0.550 -4.611 1.021
-8.061 -1.632 -0.639
Rh Tb Mg Dy
4 2 1 1
Direct
0.875 0.875 0.374 Rh
0.624 0.624 0.128 Rh
0.125 0.125 0.626 Rh
0.376 0.376 0.872 Rh
0.755 0.755 0.734 Tb
0.245 0.245 0.266 Tb
0.500 0.500 0.500 Mg
0.000 0.000 0.000 Dy
```

=====

No. 3
Compound: TbDyMgRh
Source: the Alexandria database
Functional: GGA-PBE
Structure: relaxed

Mass density (g cm⁻³): 8.12
SG: F-43m
Total magnetic moment (Bohr magnetons per cell): 0.000

```
TbDyMgRh
1.0
-2.101 -4.132 2.035
1.722 -4.593 -1.252
2.578 -2.745 3.384
Dy Tb Mg Rh
1 1 1 1
Direct
0.750 0.750 0.750 Dy
0.250 0.250 0.250 Tb
0.000 0.000 0.000 Mg
0.500 0.500 0.500 Rh
```

=====

No. 4
Compound: DyTmMgRh
Source: the Alexandria database
Functional: GGA-PBE
Structure: relaxed

Mass density (g cm⁻³): 8.53
SG: F-43m
Total magnetic moment (Bohr magnetons per cell): 0.000

```
DyTmMgRh
1.0
-1.157 4.362 2.192
0.596 0.555 4.950
3.642 2.961 1.771
Rh Dy Tm Mg
1 1 1 1
Direct
0.500 0.500 0.500 Rh
0.250 0.250 0.250 Dy
0.750 0.750 0.750 Tm
0.000 0.000 0.000 Mg
```

=====

No. 5
Compound: DyYMgRh
Source: the Alexandria database
Functional: GGA-PBE
Structure: relaxed

Mass density (g cm⁻³): 6.87
SG: F-43m
Total magnetic moment (Bohr magnetons per cell): 0.000

```
DyYMgRh
1.0
5.059 0.000 0.000
2.529 4.381 0.000
2.529 1.460 4.130
Rh Dy Y Mg
1 1 1 1
Direct
0.500 0.500 0.500 Rh
0.250 0.250 0.250 Dy
0.750 0.750 0.750 Y
0.000 0.000 0.000 Mg
```

=====

No. 6
Compound: Dy4MgZn2Rh
Source: the Alexandria database
Functional: GGA-PBE
Structure: relaxed

Mass density (g cm⁻³): 8.22
SG: R-3m
Total magnetic moment (Bohr magnetons per cell): 0.000

```
Dy4MgZn2Rh
1.0
5.067 0.000 0.000
2.534 4.388 0.000
2.534 1.463 8.248
Zn Rh Dy Mg
2 1 4 1
Direct
0.262 0.262 0.214 Zn
0.738 0.738 0.786 Zn
0.500 0.500 0.500 Rh
0.869 0.869 0.394 Dy
0.131 0.131 0.606 Dy
0.385 0.385 0.844 Dy
0.615 0.615 0.156 Dy
0.000 0.000 0.000 Mg
```

=====

No. 7
Compound: Dy2MgZn2Rh5
Source: the Alexandria database
Functional: GGA-PBE
Structure: relaxed

Mass density (g cm⁻³): 9.72
SG: P4/mbm
Total magnetic moment (Bohr magnetons per cell): 0.000

```
Dy2MgZn2Rh5
1.0
3.662 0.000 0.000
0.000 9.636 0.000
0.000 0.000 9.636
Dy Rh Zn Mg
4 10 4 2
Direct
0.000 0.326 0.826 Dy
0.000 0.826 0.674 Dy
0.000 0.174 0.326 Dy
0.000 0.674 0.174 Dy
0.500 0.203 0.070 Rh
0.500 0.297 0.570 Rh
0.500 0.430 0.297 Rh
0.500 0.930 0.203 Rh
0.500 0.797 0.930 Rh
0.500 0.570 0.703 Rh
0.500 0.000 0.500 Rh
0.500 0.703 0.430 Rh
0.500 0.500 0.000 Rh
0.500 0.070 0.797 Rh
0.000 0.876 0.376 Zn
0.000 0.376 0.124 Zn
0.000 0.124 0.624 Zn
0.000 0.624 0.876 Zn
0.000 0.500 0.500 Mg
0.000 0.000 0.000 Mg
```

=====

No. 8
Compound: DyMgZrRh
Source: the Alexandria database
Functional: GGA-PBE
Structure: relaxed

Mass density (g cm⁻³): 7.54
SG: F-43m
Total magnetic moment (Bohr magnetons per cell): 0.000

```
DyMgZrRh
1.0
4.914 0.000 0.000
2.457 4.256 0.000
2.457 1.419 4.012
Zr Rh Mg Dy
1 1 1 1
Direct
0.750 0.750 0.750 Zr
0.500 0.500 0.500 Rh
0.000 0.000 0.000 Mg
0.250 0.250 0.250 Dy
```

=====

No. 9
Compound: Dy6MgRu2
Source: the Alexandria database
Functional: GGA-PBE
Structure: relaxed

Mass density (g cm⁻³): 8.45
SG: C2/m
Total magnetic moment (Bohr magnetons per cell): 0.000

```
Dy6MgRu2
1.0
-0.020 -3.667 3.391
3.532 4.356 1.052
-5.351 5.281 5.678
Dy Mg Ru
6 1 2
Direct
0.966 0.931 0.844 Dy
0.281 0.563 0.841 Dy
0.034 0.069 0.156 Dy
0.662 0.324 0.621 Dy
0.719 0.437 0.159 Dy
0.338 0.676 0.379 Dy
0.000 0.000 0.500 Mg
0.390 0.780 0.094 Ru
0.610 0.220 0.906 Ru
```

=====

No. 10
Compound: Dy4MgRu2
Source: the Alexandria database
Functional: GGA-PBE
Structure: relaxed

Mass density (g cm⁻³): 8.34
SG: P1
Total magnetic moment (Bohr magnetons per cell): 0.000

```
Dy4MgRu2
1.0
-1.168 7.105 4.233
-5.660 1.437 -3.789
2.345 -6.908 5.980
Ru Dy Mg
4 8 2
Direct
0.088 0.556 0.990 Ru
0.598 0.380 0.232 Ru
0.630 0.360 0.729 Ru
0.630 0.863 0.224 Ru
0.929 0.948 0.181 Dy
0.409 0.755 0.396 Dy
0.799 0.367 0.042 Dy
0.856 0.987 0.579 Dy
0.833 0.511 0.624 Dy
0.350 0.334 0.857 Dy
0.489 0.811 0.868 Dy
0.379 0.136 0.311 Dy
0.116 0.607 0.483 Mg
0.145 0.135 0.985 Mg
```

=====

No. 11
Compound: Dy4MgRu3
Source: the Alexandria database
Functional: GGA-PBE
Structure: relaxed

Mass density (g cm⁻³): 9.64
SG: P4/mmm
Total magnetic moment (Bohr magnetons per cell): 0.000

```
Dy4MgRu3
1.0
4.863 0.000 0.000
0.000 7.119 0.000
0.000 0.000 9.724
Ru Dy Mg
6 8 2
Direct
0.500 0.500 0.250 Ru
0.500 0.000 0.250 Ru
0.500 0.500 0.750 Ru
0.000 0.000 0.500 Ru
0.000 0.000 0.000 Ru
0.500 0.000 0.750 Ru
0.500 0.233 0.500 Dy
0.000 0.233 0.250 Dy
0.500 0.233 0.000 Dy
0.000 0.233 0.750 Dy
0.000 0.767 0.250 Dy
0.500 0.767 0.500 Dy
0.500 0.767 0.000 Dy
0.000 0.767 0.750 Dy
0.000 0.500 0.500 Mg
0.000 0.500 0.000 Mg
```

=====

No. 12
Compound: Dy2MgRu
Source: the Alexandria database
Functional: GGA-PBE
Structure: relaxed

Mass density (g cm⁻³): 7.12
SG: R-3m
Total magnetic moment (Bohr magnetons per cell): 0.000

```
Dy2MgRu
1.0
-0.785 1.977 -3.011
0.763 -1.352 -3.344
-8.103 -3.521 -2.457
Ru Dy Mg
1 2 1
Direct
0.000 0.000 0.000 Ru
0.732 0.732 0.805 Dy
0.268 0.268 0.195 Dy
0.500 0.500 0.500 Mg
```

=====

Across the entries above, formation energy takes the values -0.699, -0.792, -0.405, -0.430, -0.413, -0.427, -0.579, -0.282, -0.139, -0.203, -0.298, -0.067 eV/atom, respectively.